Record 1
An optimized crystal structure of Y2CoCuH. Source: Alexandria via LeMat-Bulk, functional PBE.

Cell lengths 4.8194, 4.8194, 3.5219 Å; angles 90.00, 90.00, 90.00 degrees
Last column: nearest neighbours and their distance in Å.
Sites, in units of the cell vectors:
Co1 0.5000 0.5000 0.5000  8 Y 2.98
Cu1 0.0000 0.0000 0.5000  2 H 1.76
Y1 0.5000 0.0000 0.0000  2 H 2.41
Y2 0.0000 0.5000 0.0000  2 H 2.41
H1 0.0000 0.0000 0.0000  2 Cu 1.76

Output
E_tot = -5.7154 eV/atom
Energy above the lowest structure with this stoichiometry = 0.068 eV/atom
Symmetry = P4/mmm (123)
N(E_F) = 2.1 states/eV/cell


Record 2
An optimized crystal structure of YCo2CuH8. Source: Alexandria via LeMat-Bulk, functional PBE.

Cell lengths 4.5547, 4.5547, 6.0263 Å; angles 90.00, 90.00, 120.00 degrees
Last column: nearest neighbours and their distance in Å.
Sites, in units of the cell vectors:
H1 0.1453 0.8547 0.8016  1 Co 1.50, 1 Cu 1.66
H2 0.3333 0.6667 0.5851  1 Co 1.55
H3 0.2905 0.1453 0.1984  1 Co 1.50, 1 Cu 1.66
H4 0.6667 0.3333 0.4149  1 Co 1.55
H5 0.8547 0.1453 0.1984  1 Co 1.50, 1 Cu 1.66
H6 0.1453 0.2905 0.8016  1 Co 1.50, 1 Cu 1.66
H7 0.8547 0.7095 0.1984  1 Co 1.50, 1 Cu 1.66
H8 0.7095 0.8547 0.8016  1 Co 1.50, 1 Cu 1.66
Co1 0.3333 0.6667 0.8416  4 H 1.50-1.55
Co2 0.6667 0.3333 0.1584  4 H 1.50-1.55
Y1 0.0000 0.0000 0.5000  6 H 2.15
Cu1 0.0000 0.0000 0.0000  6 H 1.66

Output
E_tot = -4.2222 eV/atom
Symmetry = P-3m1 (164)
N(E_F) = 4.5 states/eV/cell


Record 3
An optimized crystal structure of Y2CoCuH. Source: Alexandria via LeMat-Bulk, functional PBE.

Cell lengths 4.8921, 4.8921, 3.4133 Å; angles 90.00, 90.00, 90.00 degrees
Last column: nearest neighbours and their distance in Å.
Sites, in units of the cell vectors:
Co1 0.0000 0.0000 0.5000  2 H 1.71
H1 0.0000 0.0000 0.0000  2 Co 1.71
Cu1 0.5000 0.5000 0.5000  8 Y 2.98
Y1 0.0000 0.5000 0.0000  2 H 2.45
Y2 0.5000 0.0000 0.0000  2 H 2.45

Output
E_tot = -5.7833 eV/atom
Energy above the lowest structure with this stoichiometry = 0.000 eV/atom
Symmetry = P4/mmm (123)
N(E_F) = 2.7 states/eV/cell


Record 4
An optimized crystal structure of ZnCo2CuH. Source: Alexandria via LeMat-Bulk, functional PBE.

Cell lengths 3.6082, 3.6082, 3.7714 Å; angles 90.00, 90.00, 90.00 degrees
Last column: nearest neighbours and their distance in Å.
Sites, in units of the cell vectors:
Zn1 0.5000 0.5000 0.5000  4 Cu 2.55, 8 Co 2.61
Co1 0.0000 0.5000 0.0000  2 H 1.80
Co2 0.5000 0.0000 0.0000  2 H 1.80
H1 0.0000 0.0000 0.0000  4 Co 1.80, 2 Cu 1.89
Cu1 0.0000 0.0000 0.5000  2 H 1.89

Output
E_tot = -4.5330 eV/atom
Energy above the lowest structure with this stoichiometry = 0.000 eV/atom
Symmetry = P4/mmm (123)
N(E_F) = 5.6 states/eV/cell


Record 5
An optimized crystal structure of ZnCo2CuH. Source: Alexandria via LeMat-Bulk, functional PBE.

Cell lengths 3.5554, 3.5554, 3.9210 Å; angles 90.00, 90.00, 90.00 degrees
Last column: nearest neighbours and their distance in Å.
Sites, in units of the cell vectors:
H1 0.0000 0.0000 0.0000  4 Co 1.78, 2 Zn 1.96
Cu1 0.5000 0.5000 0.5000  4 Zn 2.51, 8 Co 2.65
Zn1 0.0000 0.0000 0.5000  2 H 1.96
Co1 0.5000 0.0000 0.0000  2 H 1.78
Co2 0.0000 0.5000 0.0000  2 H 1.78

Output
E_tot = -4.4636 eV/atom
Energy above the lowest structure with this stoichiometry = 0.069 eV/atom
Symmetry = P4/mmm (123)
N(E_F) = 5.8 states/eV/cell


Record 6
An optimized crystal structure of Zn2CoCuH. Source: Alexandria via LeMat-Bulk, functional PBE.

Cell lengths 4.0865, 4.0865, 3.1872 Å; angles 90.00, 90.00, 90.00 degrees
Last column: nearest neighbours and their distance in Å.
Sites, in units of the cell vectors:
Zn1 0.5000 0.0000 0.0000  2 H 2.04
Zn2 0.0000 0.5000 0.0000  2 H 2.04
Cu1 0.5000 0.5000 0.5000  8 Zn 2.59, 4 Co 2.89
H1 0.0000 0.0000 0.0000  2 Co 1.59
Co1 0.0000 0.0000 0.5000  2 H 1.59

Output
E_tot = -3.3694 eV/atom
Symmetry = P4/mmm (123)
N(E_F) = 2.5 states/eV/cell


> What is the N(E_F) in the first record?

2.1 states/eV/cell